(1)
{"formula": "Ag4MoO5", "functional": "PBE+U", "state": "relaxed", "lattice": [[-4.8156, -2.9004, 1.0786], [-0.0686, -3.9748, 4.1944], [-3.7841, 2.0656, 3.8485]], "species": ["O", "O", "O", "O", "O", "Ag", "Ag", "Ag", "Ag", "Mo"], "frac_coords": [[0.8184, 0.3619, 0.9177], [0.0980, 0.6381, 0.0823], [0.7361, 0.0823, 0.3619], [0.3594, 0.0000, 0.0000], [0.1803, 0.9177, 0.6381], [0.5326, 0.3463, 0.7252], [0.6041, 0.6537, 0.2748], [0.8789, 0.7252, 0.6537], [0.2578, 0.2748, 0.3463], [0.0446, 0.0000, 0.0000]], "space_group": "I4, No. 79", "magnetic_moment_mub_per_fu": 0.000, "final_energy_ev_per_atom": -4.9113, "density_g_cm3": 7.0}

---

(2)
{"formula": "Ag4Mo2O9", "functional": "PBE+U", "state": "relaxed", "lattice": [[-5.8165, -0.0535, -1.0898], [-3.3002, -3.9415, 2.0242], [-3.2182, 8.7577, 11.8502]], "species": ["Mo", "Mo", "Mo", "Mo", "Ag", "Ag", "Ag", "Ag", "Ag", "Ag", "Ag", "Ag", "O", "O", "O", "O", "O", "O", "O", "O", "O", "O", "O", "O", "O", "O", "O", "O", "O", "O"], "frac_coords": [[0.9910, 0.0298, 0.8598], [0.0185, 0.0140, 0.6413], [0.0090, 0.9702, 0.1402], [0.9815, 0.9860, 0.3587], [0.3448, 0.3113, 0.7494], [0.6738, 0.6536, 0.5009], [0.6320, 0.7328, 0.7506], [0.3680, 0.2672, 0.2494], [0.3262, 0.3464, 0.4991], [0.6809, 0.6749, 0.0049], [0.6552, 0.6887, 0.2506], [0.3191, 0.3251, 0.9951], [0.7340, 0.3068, 0.5940], [0.2274, 0.9758, 0.2476], [0.2660, 0.6932, 0.4060], [0.3044, 0.6695, 0.0844], [0.0083, 0.2668, 0.0913], [0.7726, 0.0242, 0.7524], [0.0295, 0.7102, 0.5929], [0.7402, 0.2496, 0.2518], [0.2598, 0.7504, 0.7482], [0.9705, 0.2898, 0.4071], [0.9878, 0.2968, 0.7499], [0.6956, 0.3305, 0.9156], [0.3079, 0.0101, 0.5877], [0.9917, 0.7332, 0.9087], [0.7302, 0.9696, 0.0963], [0.0122, 0.7032, 0.2501], [0.6921, 0.9899, 0.4123], [0.2698, 0.0304, 0.9037]], "space_group": "P-1, No. 2", "magnetic_moment_mub_per_fu": 0.000, "final_energy_ev_per_atom": -5.5152, "n_ef_per_ev_cell": 12.7, "density_g_cm3": 6.1}